[1]
The following is a DFT calculation (PBE) of crystalline Tb4Ho8Tm at its relaxed geometry.

abc: 9.9910 9.9910 9.9910
angles: 42.41 42.41 42.41
Sites, in units of the cell vectors:
1 Tb 0.0000 0.0000 0.0000
2 Tb 0.0000 0.5000 0.5000
3 Tb 0.5000 0.0000 0.5000
4 Tb 0.5000 0.5000 0.0000
5 Ho 0.1982 0.7502 0.7502
6 Ho 0.2150 0.2150 0.2150
7 Ho 0.2498 0.2498 0.8018
8 Ho 0.2498 0.8018 0.2498
9 Ho 0.7502 0.1982 0.7502
10 Ho 0.7502 0.7502 0.1982
11 Ho 0.7850 0.7850 0.7850
12 Ho 0.8018 0.2498 0.2498
13 Tm 0.5000 0.5000 0.5000

Output
Symmetry: R-3m, No. 166
Energy relative to the elements (eV per atom): 0.2221

[2]
The following is a DFT calculation (PBE) of crystalline Tb2HoTm7 at its relaxed geometry.

abc: 6.0576 6.0658 9.2542
angles: 102.63 109.03 99.61
Sites, in units of the cell vectors:
1 Tb 0.1993 0.0000 0.3992
2 Tb 0.8007 0.0000 0.6008
3 Ho 0.0000 0.0000 0.0000
4 Tm 0.0000 0.5000 0.5000
5 Tm 0.2006 0.5006 0.9003
6 Tm 0.4003 0.5002 0.2995
7 Tm 0.4006 0.0002 0.8007
8 Tm 0.5994 0.9998 0.1993
9 Tm 0.5997 0.4998 0.7005
10 Tm 0.7994 0.4994 0.0997

Output
Symmetry: P-1, No. 2
Energy relative to the elements (eV per atom): 0.0253

[3]
The following is a DFT calculation (PBE) of crystalline TbHo10Tm4 at its relaxed geometry.

abc: 9.3001 9.3001 9.3001
angles: 99.59 99.59 131.83
Sites, in units of the cell vectors:
1 Tb 0.0000 0.0000 0.0000
2 Ho 0.0513 0.1509 0.6995
3 Ho 0.1509 0.4514 0.0996
4 Ho 0.2500 0.7500 0.5000
5 Ho 0.3518 0.0513 0.9004
6 Ho 0.4514 0.3518 0.3005
7 Ho 0.5486 0.6482 0.6995
8 Ho 0.6482 0.9487 0.0996
9 Ho 0.7500 0.2500 0.5000
10 Ho 0.8491 0.5486 0.9004
11 Ho 0.9487 0.8491 0.3005
12 Tm 0.1990 0.5999 0.7990
13 Tm 0.4001 0.1990 0.5991
14 Tm 0.5999 0.8010 0.4009
15 Tm 0.8010 0.4001 0.2010

Output
Symmetry: I4/m, No. 87
Energy relative to the elements (eV per atom): 0.7216

- Among the records above, which one has the highest energy relative to the elements?
  TbHo10Tm4